Record 1
This record from the Alexandria database describes Nb2PtRh2 after structural relaxation. The functional is GGA-PBE.

Cell lengths 4.0271, 14.1431, 2.8418 Å; angles 90.00, 90.00, 90.00 degrees
Fractional positions:
Nb 0.0000 0.1120 0.0000
Nb 0.0000 0.8880 0.0000
Nb 0.5000 0.3880 0.0000
Nb 0.5000 0.6120 0.0000
Pt 0.0000 0.5000 0.5000
Pt 0.5000 0.0000 0.5000
Rh 0.0000 0.3087 0.5000
Rh 0.0000 0.6913 0.5000
Rh 0.5000 0.1913 0.5000
Rh 0.5000 0.8087 0.5000

Results
The value obtained for the total magnetization is 0.00 μB per formula unit. The density of states at the Fermi level comes out at 4.789 states/eV/f.u. For the energy above the most stable polymorph in this dataset, the calculation gives 0.0125 eV per atom. For the energy of formation, the calculation gives -0.40 eV per atom.

Record 2
This record from the Alexandria database describes TlPt5 after structural relaxation. The functional is GGA-PBE.

Cell lengths 5.3304, 5.3304, 5.3304 Å; angles 60.00, 60.00, 60.00 degrees
Fractional positions:
Tl 0.0000 0.0000 0.0000
Pt 0.3755 0.3755 0.3755
Pt 0.3755 0.3755 0.8735
Pt 0.3755 0.8735 0.3755
Pt 0.7500 0.7500 0.7500
Pt 0.8735 0.3755 0.3755

Results
The value obtained for the total magnetization is 0.00 μB per formula unit. The density of states at the Fermi level comes out at 5.773 states/eV/f.u. For the energy of formation, the calculation gives 0.22 eV per atom.

Record 3
This record from the Alexandria database describes ErSc2Pd9 after structural relaxation. The functional is GGA-PBE.

Cell lengths 4.0454, 4.0454, 12.1010 Å; angles 90.00, 90.00, 90.00 degrees
Fractional positions:
Er 0.0000 0.0000 0.0000
Sc 0.0000 0.0000 0.3358
Sc 0.0000 0.0000 0.6642
Pd 0.0000 0.5000 0.1728
Pd 0.0000 0.5000 0.5000
Pd 0.0000 0.5000 0.8272
Pd 0.5000 0.0000 0.1728
Pd 0.5000 0.0000 0.5000
Pd 0.5000 0.0000 0.8272
Pd 0.5000 0.5000 0.0000
Pd 0.5000 0.5000 0.3364
Pd 0.5000 0.5000 0.6636

Results
The value obtained for the total magnetization is 0.00 μB per formula unit. The density of states at the Fermi level comes out at 11.046 states/eV/f.u. For the energy of formation, the calculation gives -0.85 eV per atom.

Record 4
This record from the Alexandria database describes MgMnAu2 after structural relaxation. The functional is GGA-PBE.

Cell lengths 4.0622, 4.0622, 18.5252 Å; angles 90.00, 90.00, 90.00 degrees
Fractional positions:
Mg 0.0000 0.0000 0.0000
Mg 0.0000 0.5000 0.2500
Mg 0.5000 0.0000 0.7500
Mg 0.5000 0.5000 0.5000
Mn 0.0000 0.0000 0.5000
Mn 0.0000 0.5000 0.7500
Mn 0.5000 0.0000 0.2500
Mn 0.5000 0.5000 0.0000
Au 0.2484 0.2500 0.6250
Au 0.2500 0.7484 0.8750
Au 0.2500 0.7516 0.3750
Au 0.2516 0.2500 0.1250
Au 0.7484 0.7500 0.1250
Au 0.7500 0.2484 0.3750
Au 0.7500 0.2516 0.8750
Au 0.7516 0.7500 0.6250

Results
The value obtained for the total magnetization is 3.91 μB per formula unit. The density of states at the Fermi level comes out at 1.878 states/eV/f.u. For the energy of formation, the calculation gives 0.11 eV per atom.

Record 5
This record from the Alexandria database describes Sb2MoPt after structural relaxation. The functional is GGA-PBE.

Cell lengths 6.7635, 6.7635, 6.7635 Å; angles 90.00, 90.00, 90.00 degrees
Fractional positions:
Sb 0.2500 0.2500 0.2500
Sb 0.2500 0.2500 0.7500
Sb 0.2500 0.7500 0.2500
Sb 0.2500 0.7500 0.7500
Sb 0.7500 0.2500 0.2500
Sb 0.7500 0.2500 0.7500
Sb 0.7500 0.7500 0.2500
Sb 0.7500 0.7500 0.7500
Mo 0.0000 0.0000 0.0000
Mo 0.0000 0.5000 0.5000
Mo 0.5000 0.0000 0.5000
Mo 0.5000 0.5000 0.0000
Pt 0.0000 0.0000 0.5000
Pt 0.0000 0.5000 0.0000
Pt 0.5000 0.0000 0.0000
Pt 0.5000 0.5000 0.5000

Results
The value obtained for the total magnetization is 0.74 μB per formula unit. The density of states at the Fermi level comes out at 4.408 states/eV/f.u. For the energy above the most stable polymorph in this dataset, the calculation gives 0.3262 eV per atom.

Record 6
This record from the Alexandria database describes Pm4Dy2Tl after structural relaxation. The functional is GGA-PBE.

Cell lengths 6.2033, 12.5482, 6.0696 Å; angles 90.00, 90.00, 90.00 degrees
Fractional positions:
Pm 0.0000 0.1350 0.0000
Pm 0.0000 0.3312 0.5000
Pm 0.0000 0.6688 0.5000
Pm 0.0000 0.8650 0.0000
Pm 0.5000 0.1688 0.5000
Pm 0.5000 0.3650 0.0000
Pm 0.5000 0.6350 0.0000
Pm 0.5000 0.8312 0.5000
Dy 0.0000 0.3831 0.0000
Dy 0.0000 0.6169 0.0000
Dy 0.5000 0.1169 0.0000
Dy 0.5000 0.8831 0.0000
Tl 0.0000 0.0000 0.5000
Tl 0.5000 0.5000 0.5000

Results
The value obtained for the total magnetization is 0.00 μB per formula unit. The density of states at the Fermi level comes out at 8.951 states/eV/f.u. For the energy above the most stable polymorph in this dataset, the calculation gives 0.4837 eV per atom. For the energy of formation, the calculation gives 0.43 eV per atom.

Record 7
This record from the Alexandria database describes CePrAu after structural relaxation. The functional is GGA-PBE.

Cell lengths 4.6272, 4.3107, 8.3986 Å; angles 90.00, 91.26, 90.00 degrees
Fractional positions:
Ce 0.1892 0.2500 0.4878
Ce 0.8108 0.7500 0.5122
Pr 0.2578 0.7500 0.8631
Pr 0.7422 0.2500 0.1369
Au 0.2728 0.7500 0.2274
Au 0.7272 0.2500 0.7726

Results
The value obtained for the total magnetization is 0.25 μB per formula unit. The density of states at the Fermi level comes out at 5.915 states/eV/f.u. For the energy above the most stable polymorph in this dataset, the calculation gives 0.0000 eV per atom. For the energy of formation, the calculation gives -0.46 eV per atom.

Record 8
This record from the Alexandria database describes CaZnAgCl5 after structural relaxation. The functional is GGA-PBE.

Cell lengths 7.2113, 7.2113, 10.0435 Å; angles 107.54, 107.54, 98.05 degrees
Fractional positions:
Ca 0.0000 0.0000 0.0000
Ca 0.0000 0.0000 0.5000
Zn 0.3332 0.6668 0.7500
Zn 0.6668 0.3332 0.2500
Ag 0.3397 0.6603 0.2500
Ag 0.6603 0.3397 0.7500
Cl 0.1048 0.6647 0.8619
Cl 0.1083 0.8917 0.2500
Cl 0.2983 0.3530 0.5786
Cl 0.3353 0.8952 0.6381
Cl 0.3530 0.2983 0.0786
Cl 0.6470 0.7017 0.9214
Cl 0.6647 0.1048 0.3619
Cl 0.7017 0.6470 0.4214
Cl 0.8917 0.1083 0.7500
Cl 0.8952 0.3353 0.1381

Results
The value obtained for the total magnetization is 0.00 μB per formula unit. The total DFT energy (no corrections) is -3.329 eV/atom. The density of states at the Fermi level comes out at 0.000 states/eV/f.u.

Record 9
This record from the Alexandria database describes Th2GaCo3Ni12 after structural relaxation. The functional is GGA-PBE.

Cell lengths 6.2730, 6.2730, 6.2730 Å; angles 82.78, 82.78, 82.78 degrees
Fractional positions:
Th 0.2308 0.2308 0.2308
Th 0.7692 0.7692 0.7692
Ga 0.5000 0.5000 0.5000
Co 0.0000 0.5000 0.5000
Co 0.5000 0.0000 0.5000
Co 0.5000 0.5000 0.0000
Ni 0.0787 0.0787 0.6493
Ni 0.0787 0.6493 0.0787
Ni 0.2285 0.7001 0.7001
Ni 0.2999 0.2999 0.7715
Ni 0.2999 0.7715 0.2999
Ni 0.3507 0.9213 0.9213
Ni 0.6493 0.0787 0.0787
Ni 0.7001 0.2285 0.7001
Ni 0.7001 0.7001 0.2285
Ni 0.7715 0.2999 0.2999
Ni 0.9213 0.3507 0.9213
Ni 0.9213 0.9213 0.3507

Results
The value obtained for the total magnetization is 5.78 μB per formula unit. The density of states at the Fermi level comes out at 24.485 states/eV/f.u. For the energy of formation, the calculation gives -0.04 eV per atom.

Record 10
This record from the Alexandria database describes La4SbRuBr2 after structural relaxation. The functional is GGA-PBE.

Cell lengths 7.9295, 4.3100, 7.9336 Å; angles 90.00, 107.07, 90.00 degrees
Fractional positions:
La 0.2125 0.0000 0.2084
La 0.2221 0.5000 0.7927
La 0.7779 0.5000 0.2073
La 0.7875 0.0000 0.7916
Sb 0.5000 0.0000 0.0000
Ru 0.0000 0.5000 0.0000
Br 0.0000 0.0000 0.5000
Br 0.5000 0.5000 0.5000

Results
The value obtained for the total magnetization is 0.00 μB per formula unit. The total DFT energy (no corrections) is -5.663 eV/atom. The density of states at the Fermi level comes out at 5.714 states/eV/f.u.

Record 11
This record from the Alexandria database describes Na2SrSnRh after structural relaxation. The functional is GGA-PBE.

Cell lengths 5.6029, 5.6029, 6.3292 Å; angles 90.00, 90.00, 90.00 degrees
Fractional positions:
Na 0.0000 0.5000 0.0000
Na 0.5000 0.0000 0.0000
Sr 0.0000 0.0000 0.5000
Sn 0.0000 0.0000 0.0000
Rh 0.5000 0.5000 0.5000

Results
The value obtained for the total magnetization is 2.15 μB per formula unit. The density of states at the Fermi level comes out at 13.194 states/eV/f.u. For the energy of formation, the calculation gives 0.71 eV per atom.

Record 12
This record from the Alexandria database describes Y3Zr after structural relaxation. The functional is GGA-PBE.

Cell lengths 3.5310, 3.5310, 11.0897 Å; angles 90.00, 90.00, 120.00 degrees
Fractional positions:
Y 0.0000 0.0000 0.0000
Y 0.6667 0.3333 0.2649
Y 0.6667 0.3333 0.7351
Zr 0.0000 0.0000 0.5000

Results
The value obtained for the total magnetization is 0.57 μB per formula unit. The density of states at the Fermi level comes out at 7.119 states/eV/f.u. For the energy above the most stable polymorph in this dataset, the calculation gives 0.0000 eV per atom. For the energy of formation, the calculation gives 0.07 eV per atom.